Record 1
{
  "formula": "Ba6Ag2PtRh",
  "functional": "PBE",
  "state": "optimized geometry",
  "lattice_angstrom": [[7.868, 0.000, 0.000], [0.000, 8.810, 0.000], [-7.790, 0.000, 11.763]],
  "species": ["Ba", "Ba", "Ba", "Ba", "Ba", "Ba", "Ba", "Ba", "Ba", "Ba", "Ba", "Ba", "Ag", "Ag", "Ag", "Ag", "Pt", "Pt", "Rh", "Rh"],
  "frac_coords": [[0.117, 0.182, 0.440], [0.117, 0.318, 0.940], [0.269, 0.688, 0.440], [0.269, 0.812, 0.940], [0.381, 0.037, 0.252], [0.381, 0.463, 0.752], [0.619, 0.537, 0.248], [0.619, 0.963, 0.748], [0.731, 0.188, 0.060], [0.731, 0.312, 0.560], [0.883, 0.682, 0.060], [0.883, 0.818, 0.560], [0.199, 0.104, 0.749], [0.199, 0.396, 0.249], [0.801, 0.604, 0.751], [0.801, 0.896, 0.251], [0.000, 0.000, 0.000], [0.000, 0.500, 0.500], [0.500, 0.000, 0.500], [0.500, 0.500, 0.000]],
  "space_group": "P2_1/c",
  "ef_ev_per_fu": -3.354
}

Record 2
{
  "formula": "BaAg2SbPt",
  "functional": "PBE",
  "state": "optimized geometry",
  "lattice_angstrom": [[5.676, 0.000, 0.000], [0.000, 5.676, 0.000], [0.000, 0.000, 6.303]],
  "species": ["Ba", "Ag", "Ag", "Sb", "Pt"],
  "frac_coords": [[0.000, 0.000, 0.000], [0.000, 0.500, 0.000], [0.500, 0.000, 0.000], [0.000, 0.000, 0.500], [0.500, 0.500, 0.500]],
  "space_group": "P4/mmm",
  "raw_formation_energy_mev_per_atom": 1575
}

The records above give, respectively, density of states at the Fermi level values of 0.64; 1.30 states/eV per atom.
The records above give, respectively, V values of 40.8; 40.6 Å³ per atom.